Record 1
Sb2TeMoC | PBE | optimized geometry

abc: 5.252 5.252 5.179
angles: 90.00 90.00 90.00
Space group P4/mmm (No. 123)
Symmetry-distinct sites (fractional):
Sb: 0.000 0.500 0.000
Te: 0.000 0.000 0.500
Mo: 0.000 0.000 0.000
C: 0.500 0.500 0.500


Record 2
Y2SbMoC | PBE | optimized geometry

abc: 5.811 5.811 4.074
angles: 90.00 90.00 90.00
Space group P4/mmm (No. 123)
Symmetry-distinct sites (fractional):
Y: 0.000 0.500 0.000
Sb: 0.000 0.000 0.000
Mo: 0.500 0.500 0.500
C: 0.000 0.000 0.500


Record 3
ScMoC2 | PBE | optimized geometry

abc: 5.567 5.567 5.567
angles: 90.00 90.00 90.00
Space group Fm-3m (No. 225)
Symmetry-distinct sites (fractional):
Sc: 0.000 0.000 0.000
Mo: 0.000 0.000 0.500
C: 0.250 0.250 0.250

Computed properties:
- ΔE_f: 0.638 eV per atom


Record 4
ScMo2C | PBE | optimized geometry

abc: 7.184 7.184 4.617
angles: 90.00 90.00 90.00
Space group I-42d (No. 122)
Symmetry-distinct sites (fractional):
Sc: 0.000 0.000 0.000
Mo: 0.143 0.750 0.625
C: 0.000 0.000 0.500

Computed properties:
- ΔE_f: 0.118 eV per atom


Record 5
ScMoC2 | PBE | optimized geometry

abc: 4.907 4.907 9.630
angles: 90.00 90.00 90.00
Space group I-42d (No. 122)
Symmetry-distinct sites (fractional):
Sc: 0.000 0.000 0.000
Mo: 0.000 0.000 0.500
C: 0.206 0.250 0.625

Computed properties:
- ΔE_f: 0.116 eV per atom


Record 6
ScMo3C | PBE | optimized geometry

abc: 4.581 4.581 4.581
angles: 90.00 90.00 90.00
Space group Pm-3m (No. 221)
Symmetry-distinct sites (fractional):
Sc: 0.000 0.000 0.000
Mo: 0.000 0.000 0.500
C: 0.500 0.500 0.500

Computed properties:
- ΔE_f: 3.256 eV per atom


Record 7
Sc5MoC4 | PBE | optimized geometry

abc: 3.245 8.031 11.512
angles: 90.00 90.00 90.00
Space group Immm (No. 71)
Symmetry-distinct sites (fractional):
Sc: 0.000 0.000 0.000
Sc: 0.000 0.307 0.142
Mo: 0.000 0.000 0.500
C: 0.000 0.000 0.307
C: 0.000 0.284 0.500

Computed properties:
- ΔE_f: -0.027 eV per atom


Record 8
ScMo3C | PBE | optimized geometry

abc: 4.236 4.236 4.236
angles: 90.00 90.00 90.00
Space group Pm-3m (No. 221)
Symmetry-distinct sites (fractional):
Sc: 0.000 0.000 0.000
Mo: 0.000 0.500 0.500
C: 0.500 0.500 0.500

Computed properties:
- ΔE_f: 0.039 eV per atom


E for the records above, in order: -22.9 -29.4 -33.1 -36.7 -35.1 -31.8 -79.7 -47.9 eV/f.u.
DOS at the Fermi energy for the records above, in order: 0.62 0.60 0.77 0.74 0.65 1.80 0.54 0.96 states/eV/atom